Entry 1:
The following is a PBE calculation of ScGa2CuN after structural relaxation, from Alexandria.

Cell: 4.2692 4.2692 4.2035 Å, 90.00 90.00 90.00°
Space group P4/mmm (No. 123)
Asymmetric unit:
1 Sc 0.0000 0.0000 0.0000 (multiplicity 1)
2 Ga 0.0000 0.5000 0.5000 (multiplicity 2)
3 Cu 0.5000 0.5000 0.0000 (multiplicity 1)
4 N 0.0000 0.0000 0.5000 (multiplicity 1)

* formation energy without anion corrections: -128 meV/atom
* total energy: -25.44 eV/cell

***

Entry 2:
The following is a PBE calculation of GaCuSe2N after structural relaxation, from Alexandria.

Cell: 5.1025 5.1025 3.5367 Å, 90.00 90.00 90.00°
Space group P4/mmm (No. 123)
Asymmetric unit:
1 Ga 0.0000 0.0000 0.0000 (multiplicity 1)
2 Cu 0.5000 0.5000 0.5000 (multiplicity 1)
3 Se 0.0000 0.5000 0.5000 (multiplicity 2)
4 N 0.5000 0.5000 0.0000 (multiplicity 1)

* energy above the most stable polymorph in this dataset: 0.0 kJ/mol of atoms
* formation energy without anion corrections: 716 meV/atom
* total energy: -18.84 eV/cell

***

Entry 3:
The following is a PBE calculation of GaCu2SeN after structural relaxation, from Alexandria.

Cell: 3.6806 3.6806 7.4972 Å, 90.00 90.00 90.00°
Space group P4/mmm (No. 123)
Asymmetric unit:
1 Ga 0.0000 0.0000 0.0000 (multiplicity 1)
2 Cu 0.0000 0.5000 0.5000 (multiplicity 2)
3 Se 0.5000 0.5000 0.0000 (multiplicity 1)
4 N 0.5000 0.5000 0.5000 (multiplicity 1)

* formation energy without anion corrections: 279 meV/atom
* total energy: -21.63 eV/cell

***

Entry 4:
The following is a PBE calculation of GaCuSe2N after structural relaxation, from Alexandria.

Cell: 5.2090 5.2090 3.5830 Å, 90.00 90.00 90.00°
Space group P4/mmm (No. 123)
Asymmetric unit:
1 Ga 0.0000 0.0000 0.0000 (multiplicity 1)
2 Cu 0.5000 0.5000 0.5000 (multiplicity 1)
3 Se 0.0000 0.5000 0.0000 (multiplicity 2)
4 N 0.0000 0.0000 0.5000 (multiplicity 1)

* energy above the most stable polymorph in this dataset: 14.5 kJ/mol of atoms
* formation energy without anion corrections: 867 meV/atom
* total energy: -18.08 eV/cell

***

Entry 5:
The following is a PBE calculation of GaCuTc2N after structural relaxation, from Alexandria.

Cell: 4.0753 4.0753 3.8783 Å, 90.00 90.00 90.00°
Space group P4/mmm (No. 123)
Asymmetric unit:
1 Ga 0.0000 0.0000 0.0000 (multiplicity 1)
2 Cu 0.5000 0.5000 0.0000 (multiplicity 1)
3 Tc 0.0000 0.5000 0.5000 (multiplicity 2)
4 N 0.5000 0.5000 0.5000 (multiplicity 1)

* formation energy without anion corrections: 159 meV/atom
* total energy: -35.38 eV/cell

***

Entry 6:
The following is a PBE calculation of GaCuTeN2 after structural relaxation, from Alexandria.

Cell: 3.8914 3.8914 5.9397 Å, 90.00 90.00 90.00°
Space group P4/mmm (No. 123)
Asymmetric unit:
1 Ga 0.0000 0.0000 0.0000 (multiplicity 1)
2 Cu 0.5000 0.5000 0.5000 (multiplicity 1)
3 Te 0.5000 0.5000 0.0000 (multiplicity 1)
4 N 0.0000 0.5000 0.5000 (multiplicity 2)

* energy above the most stable polymorph in this dataset: 13.3 kJ/mol of atoms
* formation energy without anion corrections: 1394 meV/atom
* total energy: -19.95 eV/cell

***

Entry 7:
The following is a PBE calculation of GaCuTeN2 after structural relaxation, from Alexandria.

Cell: 3.8471 3.8471 6.2333 Å, 90.00 90.00 90.00°
Space group P4/mmm (No. 123)
Asymmetric unit:
1 Ga 0.0000 0.0000 0.0000 (multiplicity 1)
2 Cu 0.5000 0.5000 0.5000 (multiplicity 1)
3 Te 0.0000 0.0000 0.5000 (multiplicity 1)
4 N 0.0000 0.5000 0.0000 (multiplicity 2)

* energy above the most stable polymorph in this dataset: 0.0 kJ/mol of atoms
* formation energy without anion corrections: 1256 meV/atom
* total energy: -20.64 eV/cell

***

Entry 8:
The following is a PBE calculation of GaCuTe2N after structural relaxation, from Alexandria.

Cell: 5.7711 5.7711 3.4391 Å, 90.00 90.00 90.00°
Space group P4/mmm (No. 123)
Asymmetric unit:
1 Ga 0.0000 0.0000 0.0000 (multiplicity 1)
2 Cu 0.5000 0.5000 0.5000 (multiplicity 1)
3 Te 0.0000 0.5000 0.0000 (multiplicity 2)
4 N 0.0000 0.0000 0.5000 (multiplicity 1)

* energy above the most stable polymorph in this dataset: 14.6 kJ/mol of atoms
* formation energy without anion corrections: 807 meV/atom
* total energy: -17.70 eV/cell

***

Entry 9:
The following is a PBE calculation of GaCuTe2N after structural relaxation, from Alexandria.

Cell: 5.5714 5.5714 3.5188 Å, 90.00 90.00 90.00°
Space group P4/mmm (No. 123)
Asymmetric unit:
1 Ga 0.0000 0.0000 0.0000 (multiplicity 1)
2 Cu 0.5000 0.5000 0.5000 (multiplicity 1)
3 Te 0.0000 0.5000 0.5000 (multiplicity 2)
4 N 0.5000 0.5000 0.0000 (multiplicity 1)

* energy above the most stable polymorph in this dataset: 0.0 kJ/mol of atoms
* formation energy without anion corrections: 656 meV/atom
* total energy: -18.45 eV/cell

***

Entry 10:
The following is a PBE calculation of Ti2GaCuN after structural relaxation, from Alexandria.

Cell: 3.3981 3.3981 11.2617 Å, 90.00 90.00 90.00°
Space group P4/nmm (No. 129, origin choice 2)
Asymmetric unit:
1 Ti 0.2500 0.2500 0.0903 (multiplicity 2)
2 Ti 0.2500 0.2500 0.7425 (multiplicity 2)
3 Ga 0.2500 0.2500 0.3371 (multiplicity 2)
4 Cu 0.2500 0.7500 0.5000 (multiplicity 2)
5 N 0.2500 0.2500 0.9129 (multiplicity 2)

* formation energy without anion corrections: -701 meV/atom
* total energy: -69.48 eV/cell

***

Entry 11:
The following is a PBE calculation of NaGa2Cu after structural relaxation, from Alexandria.

Cell: 4.8050 4.8050 16.7660 Å, 90.00 90.00 90.00°
Space group I-42d (No. 122)
Asymmetric unit:
1 Na 0.0000 0.0000 0.0000 (multiplicity 4)
2 Ga 0.0709 0.2500 0.6250 (multiplicity 8)
3 Cu 0.0000 0.0000 0.5000 (multiplicity 4)

* total energy: -43.74 eV/cell
* formation enthalpy at 0 K: 0.133 eV per atom

***

Entry 12:
The following is a PBE calculation of NaGa2Cu after structural relaxation, from Alexandria.

Cell: 6.4783 6.4783 6.4783 Å, 90.00 90.00 90.00°
Space group Fm-3m (No. 225)
Asymmetric unit:
1 Na 0.0000 0.0000 0.0000 (multiplicity 4)
2 Ga 0.2500 0.2500 0.2500 (multiplicity 8)
3 Cu 0.0000 0.0000 0.5000 (multiplicity 4)

* total energy: -44.82 eV/cell
* formation enthalpy at 0 K: 0.066 eV per atom

***

Entry 13:
The following is a PBE calculation of Na2Ga12Cu7 after structural relaxation, from Alexandria.

Cell: 10.1566 10.1566 3.9692 Å, 90.00 90.00 120.00°
Space group P-3 (No. 147)
Asymmetric unit:
1 Na 0.3333 0.6667 0.2573 (multiplicity 2)
2 Ga 0.0505 0.4381 0.7497 (multiplicity 6)
3 Ga 0.1161 0.2654 0.2529 (multiplicity 6)
4 Cu 0.0000 0.0000 0.5000 (multiplicity 1)
5 Cu 0.1261 0.7142 0.7579 (multiplicity 6)

* total energy: -68.96 eV/cell
* formation enthalpy at 0 K: -0.063 eV per atom

***

Entry 14:
The following is a PBE calculation of Na3GaCu after structural relaxation, from Alexandria.

Cell: 5.3625 5.3625 5.3625 Å, 90.00 90.00 90.00°
Space group Pm-3m (No. 221)
Asymmetric unit:
1 Na 0.0000 0.0000 0.5000 (multiplicity 3)
2 Ga 0.5000 0.5000 0.5000 (multiplicity 1)
3 Cu 0.0000 0.0000 0.0000 (multiplicity 1)

* energy above the most stable polymorph in this dataset: 0.0 kJ/mol of atoms
* total energy: -9.17 eV/cell
* formation enthalpy at 0 K: 0.383 eV per atom

***

Entry 15:
The following is a PBE calculation of NaGa8Cu4 after structural relaxation, from Alexandria.

Cell: 8.9658 8.9658 5.1706 Å, 90.00 90.00 90.00°
Space group I4/mmm (No. 139)
Asymmetric unit:
1 Na 0.0000 0.0000 0.0000 (multiplicity 2)
2 Ga 0.0000 0.2164 0.5000 (multiplicity 8)
3 Ga 0.0000 0.3463 0.0000 (multiplicity 8)
4 Cu 0.2500 0.2500 0.2500 (multiplicity 8)

* total energy: -86.15 eV/cell
* formation enthalpy at 0 K: -0.089 eV per atom

***

Entry 16:
The following is a PBE calculation of NaGa6Cu12 after structural relaxation, from Alexandria.

Cell: 10.8088 10.8088 8.5052 Å, 90.00 90.00 120.00°
Space group R-3m (No. 166, hexagonal axes)
Asymmetric unit:
1 Na 0.0000 0.0000 0.0000 (multiplicity 3)
2 Ga 0.0589 0.5294 0.2446 (multiplicity 18)
3 Cu 0.0000 0.3882 0.5000 (multiplicity 18)
4 Cu 0.0847 0.1694 0.2879 (multiplicity 18)

* total energy: -202.93 eV/cell
* formation enthalpy at 0 K: 0.052 eV per atom

***

Entry 17:
The following is a PBE calculation of Na2GaCu2 after structural relaxation, from Alexandria.

Cell: 8.6264 8.6264 2.6317 Å, 90.00 90.00 90.00°
Space group P4/mbm (No. 127)
Asymmetric unit:
1 Na 0.1327 0.3673 0.0000 (multiplicity 4)
2 Ga 0.0000 0.0000 0.0000 (multiplicity 2)
3 Cu 0.1651 0.6651 0.5000 (multiplicity 4)

* energy above the most stable polymorph in this dataset: 26.8 kJ/mol of atoms
* total energy: -23.90 eV/cell
* formation enthalpy at 0 K: 0.381 eV per atom

***

Entry 18:
The following is a PBE calculation of NaGa2Cu after structural relaxation, from Alexandria.

Cell: 2.9977 2.9977 8.0509 Å, 90.00 90.00 90.00°
Space group P4/mmm (No. 123)
Asymmetric unit:
1 Na 0.0000 0.0000 0.0000 (multiplicity 1)
2 Ga 0.5000 0.5000 0.3042 (multiplicity 2)
3 Cu 0.0000 0.0000 0.5000 (multiplicity 1)

* total energy: -11.72 eV/cell
* formation enthalpy at 0 K: -0.062 eV per atom

***

Entry 19:
The following is a PBE calculation of NaGa5Cu2 after structural relaxation, from Alexandria.

Cell: 3.9744 7.2882 9.9225 Å, 90.00 90.00 90.00°
Space group Immm (No. 71)
Asymmetric unit:
1 Na 0.0000 0.0000 0.0000 (multiplicity 2)
2 Ga 0.0000 0.1946 0.3519 (multiplicity 8)
3 Ga 0.0000 0.5000 0.0000 (multiplicity 2)
4 Cu 0.0000 0.5000 0.2446 (multiplicity 4)

* total energy: -50.80 eV/cell
* formation enthalpy at 0 K: -0.094 eV per atom

***

Entry 20:
The following is a PBE calculation of NaGa6Cu6 after structural relaxation, from Alexandria.

Cell: 5.1665 8.5199 8.7670 Å, 90.00 90.00 90.00°
Space group Immm (No. 71)
Asymmetric unit:
1 Na 0.0000 0.0000 0.0000 (multiplicity 2)
2 Ga 0.0000 0.0000 0.3458 (multiplicity 4)
3 Ga 0.0000 0.3474 0.0000 (multiplicity 4)
4 Ga 0.0000 0.5000 0.3134 (multiplicity 4)
5 Cu 0.0000 0.2610 0.5000 (multiplicity 4)
6 Cu 0.2500 0.2500 0.2500 (multiplicity 8)

* total energy: -91.74 eV/cell
* formation enthalpy at 0 K: -0.139 eV per atom